RbVTeO6 | GGA+U | optimized geometry

**Magnetic moment**: 0.0000 μB per atom
**Fermi-level density of states**: 0.0 states/eV/f.u.
**Total energy**: -6.095 eV per atom
**Symmetry**: P312, No. 149

```
9
Lattice="5.203 0.000 0.000 2.601 4.506 0.000 0.000 0.000 6.387" Properties=species:S:1:pos:R:3 pbc="T T T"
Rb 5.203 0.000 6.387
V 5.203 3.004 3.194
Te 2.601 1.502 3.194
O 6.204 1.794 2.098
O 4.656 4.476 4.290
O 4.201 1.794 4.289
O 6.751 2.741 4.289
O 3.655 2.741 2.098
O 5.749 4.476 2.098
```